Record 1
VASP calculation (PBE-GGA) on a relaxed MgCO3 crystal.

## Properties
**Total DFT energy (no corrections)**: -7.13 eV per atom
**ΔE_f (raw)**: -1.99 eV/atom
**Fermi-level density of states**: 0.00 states/eV/f.u.
**Space group**: No. 62
**M_tot**: 0.00 μB/f.u.

Unit cell a=5.9367 b=7.6500 c=4.3885 alpha=90.00 beta=90.00 gamma=90.00
Last column: nearest neighbours and their distance in Å.
Sites, in units of the cell vectors:
1 Mg 0.0000 0.0000 0.0000  6 O 2.11-2.17
2 Mg 0.0000 0.5000 0.0000  6 O 2.11-2.17
3 Mg 0.5000 0.0000 0.5000  6 O 2.11-2.17
4 Mg 0.5000 0.5000 0.5000  6 O 2.11-2.17
5 C 0.1352 0.2500 0.4950  3 O 1.29-1.30
6 C 0.3648 0.7500 0.9950  3 O 1.29-1.30
7 C 0.6352 0.2500 0.0050  3 O 1.29-1.30
8 C 0.8648 0.7500 0.5050  3 O 1.29-1.30
9 O 0.0497 0.2500 0.2248  1 C 1.29
10 O 0.1828 0.1032 0.6299  1 C 1.30
11 O 0.1828 0.3968 0.6299  1 C 1.30
12 O 0.3172 0.6032 0.1299  1 C 1.30
13 O 0.3172 0.8968 0.1299  1 C 1.30
14 O 0.4503 0.7500 0.7248  1 C 1.29
15 O 0.5497 0.2500 0.2752  1 C 1.29
16 O 0.6828 0.1032 0.8701  1 C 1.30
17 O 0.6828 0.3968 0.8701  1 C 1.30
18 O 0.8172 0.6032 0.3701  1 C 1.30
19 O 0.8172 0.8968 0.3701  1 C 1.30
20 O 0.9503 0.7500 0.7752  1 C 1.29

Record 2
VASP calculation (PBE-GGA) on a relaxed MgC2O crystal.

## Properties
**Total DFT energy (no corrections)**: -3.88 eV per atom
**Excess energy over the best structure of this formula in the dataset**: 731 meV per atom
**ΔE_f (raw)**: 2.37 eV/atom
**Fermi-level density of states**: 2.26 states/eV/f.u.
**Space group**: No. 225
**M_tot**: 1.01 μB/f.u.

Unit cell a=3.8414 b=3.8414 c=3.8414 alpha=60.00 beta=60.00 gamma=60.00
Last column: nearest neighbours and their distance in Å.
Sites, in units of the cell vectors:
1 Mg 0.0000 0.0000 0.0000  8 C 2.35
2 C 0.2500 0.2500 0.2500  4 O 2.35, 4 Mg 2.35
3 C 0.7500 0.7500 0.7500  4 Mg 2.35, 4 O 2.35
4 O 0.5000 0.5000 0.5000  8 C 2.35